DyEr3Tl2, optimized geometry, DFT PBE-GGA; space group = Cmmm, No. 65; total DFT energy (no corrections) = -4.024 eV per atom; energy of formation = -18.07 kJ per mole of atoms
1.0
4.8618 0.0000 0.0000
0.0000 8.9321 0.0000
-2.4309 -4.4661 7.7300
Er Tl Dy
6 4 2
direct
0.1725 0.4225 0.3450
0.8275 0.5775 0.6550
0.1725 0.9225 0.3450
0.5000 0.7500 0.0000
0.8275 0.0775 0.6550
0.5000 0.2500 0.0000
0.3473 0.3470 0.6940
0.6534 0.1530 0.3060
0.6527 0.6530 0.3060
0.3466 0.8470 0.6940
0.0000 0.0000 0.0000
0.0000 0.5000 0.0000